1.
VASP calculation (PBE-GGA) on a geometry-optimized Dy4Y3Ir4 structure.

```
Dy4Y3Ir4
1.0
-1.003 -3.620 0.856
7.737 -2.781 -2.693
-0.473 4.136 8.267
Y Dy Ir
3 4 4
Cartesian
5.678 -2.453 4.949
3.868 -1.390 -1.347
0.583 0.189 1.481
2.856 -2.358 2.044
5.807 -3.419 1.017
0.454 1.154 5.413
3.405 0.094 4.386
5.300 -0.927 2.289
1.140 -2.400 -0.143
5.594 -4.001 -1.694
0.961 -1.337 4.141
```

Properties
- Crystal system: orthorhombic
- Formation energy from the elements: -0.666 eV per atom
- N(E_F): 7.16 states/eV per cell
- VASP energy: -7.325 eV/atom


2.
VASP calculation (PBE-GGA) on a geometry-optimized DyY3Ir structure.

```
DyY3Ir
1.0
6.189 0.000 0.000
0.000 6.530 -0.001
0.000 0.001 7.663
Y Dy Ir
6 2 2
Cartesian
5.710 0.146 5.369
2.634 5.640 3.452
2.615 2.158 1.539
5.729 3.194 7.284
5.729 3.193 3.454
2.634 5.641 7.285
2.648 2.157 5.370
5.742 0.147 1.538
1.093 4.410 5.369
4.188 4.424 1.538
```

Properties
- Crystal system: orthorhombic
- Formation energy from the elements: -0.332 eV per atom
- N(E_F): 11.94 states/eV per cell
- VASP energy: -6.903 eV/atom


3.
VASP calculation (PBE-GGA) on a geometry-optimized Dy4ZnIr4 structure.

```
Dy4ZnIr4
1.0
-0.995 5.481 -0.031
-5.881 -1.101 -6.040
-5.949 -1.046 5.983
Ir Dy Zn
8 8 2
Cartesian
-10.028 0.363 -2.262
-8.488 0.667 2.152
-4.337 2.666 -2.240
-2.796 2.970 2.174
-11.156 -1.386 0.738
-6.013 3.940 0.743
-6.812 -0.606 -0.831
-1.669 4.719 -0.827
-5.746 2.399 -4.646
-5.556 1.193 1.372
-5.248 4.093 3.722
-7.576 -0.759 -3.810
-8.381 3.515 2.178
-7.079 0.934 4.558
-7.268 2.141 -1.460
-4.443 -0.182 -2.266
-9.121 -0.240 -0.051
-3.704 3.574 -0.037
```

Properties
- Crystal system: tetragonal
- Formation energy from the elements: -0.583 eV per atom
- N(E_F): 11.52 states/eV per cell
- VASP energy: -6.709 eV/atom


4.
VASP calculation (PBE-GGA) on a geometry-optimized Dy2Zn16Ir structure.

```
Dy2Zn16Ir
1.0
6.727 0.045 0.808
0.722 6.688 0.808
0.050 0.045 6.775
Zn Dy Ir
16 2 1
Cartesian
5.909 2.438 3.380
4.504 1.085 5.041
7.114 3.462 7.962
7.238 4.800 3.328
6.954 2.000 5.843
3.020 5.633 3.380
2.691 6.717 5.843
7.445 6.729 5.027
4.837 4.372 2.088
4.162 6.729 7.962
2.497 4.800 7.565
0.764 0.691 0.855
5.027 2.000 7.565
1.533 4.372 5.041
2.697 2.438 6.251
5.504 6.717 3.328
5.049 4.564 5.651
2.542 2.298 2.845
6.746 6.097 7.549
```

Properties
- Crystal system: trigonal
- Formation energy from the elements: -0.251 eV per atom
- N(E_F): 6.96 states/eV per cell
- VASP energy: -2.275 eV/atom